Entry 1:
! PrEr2Mg (GGA-PBE, optimized geometry); values from VASP
! Volume (Å³/cell): 120.3
! DOS(E_F) (states/eV/f.u.): 5.964
! Polymorph energy (0 for the lowest one) (eV per atom): 0.134
! Mass density (g cm⁻³): 6.899
! Formation energy (eV/atom): 0.107
&SYSTEM
  ibrav = 0, nat = 4, ntyp = 3
/
ATOMIC_SPECIES
Er 167.26 Er.upf
Mg 24.30 Mg.upf
Pr 140.91 Pr.upf
ATOMIC_POSITIONS crystal
Er 0.750 0.750 0.750
Er 0.250 0.250 0.250
Mg 0.000 0.000 0.000
Pr 0.500 0.500 0.500
CELL_PARAMETERS angstrom
5.541 0.000 0.000
2.770 4.798 0.000
2.770 1.599 4.524



Entry 2:
! SrHgTeI2 (GGA-PBE, optimized geometry); values from VASP
! E_form (uncorrected) (eV/atom): -0.51
! Volume (Å³/cell): 276.5
! DOS(E_F) (states/eV/f.u.): 2.965
! Polymorph energy (0 for the lowest one) (eV per atom): 0.031
! Mass density (g cm⁻³): 4.021
&SYSTEM
  ibrav = 0, nat = 5, ntyp = 4
/
ATOMIC_SPECIES
I 126.90 I.upf
Sr 87.62 Sr.upf
Hg 200.59 Hg.upf
Te 127.60 Te.upf
ATOMIC_POSITIONS crystal
I 0.000 0.500 0.000
I 0.500 0.000 0.000
Sr 0.000 0.000 0.000
Hg 0.500 0.500 0.500
Te 0.000 0.000 0.500
CELL_PARAMETERS angstrom
-5.101 -1.366 3.598
3.561 -3.942 3.552
1.547 5.129 4.141